BaMnCuRh2 | PBE | optimized geometry

Cell: 4.568 4.568 4.859 Å, 90.00 90.00 90.00°
Fractional coordinates of all 5 atoms:
Ba: 0.000 0.000 0.000
Mn: 0.500 0.500 0.500
Cu: 0.500 0.500 0.000
Rh: 0.000 0.500 0.500
Rh: 0.500 0.000 0.500

Values from the calculation:
E (eV/atom): -5.576


BaMn3Cu2S8 | PBE | optimized geometry

Cell: 8.550 8.550 8.550 Å, 45.83 45.83 45.83°
Fractional coordinates of all 14 atoms:
Ba: 0.000 0.000 0.000
Mn: 0.207 0.634 0.634
Mn: 0.634 0.207 0.634
Mn: 0.634 0.634 0.207
Cu: 0.221 0.221 0.221
Cu: 0.735 0.735 0.735
S: 0.412 0.412 0.857
S: 0.412 0.857 0.412
S: 0.426 0.426 0.426
S: 0.428 0.947 0.947
S: 0.857 0.412 0.412
S: 0.869 0.869 0.869
S: 0.947 0.428 0.947
S: 0.947 0.947 0.428

Values from the calculation:
Formation energy (no corrections) (meV/atom): -512


Ba3MnCu2Se6 | PBE | optimized geometry

Cell: 7.407 7.407 8.326 Å, 90.00 90.00 120.00°
Fractional coordinates of all 12 atoms:
Ba: 0.000 0.000 0.000
Ba: 0.333 0.667 0.631
Ba: 0.667 0.333 0.369
Mn: 0.000 0.000 0.500
Cu: 0.333 0.667 0.251
Cu: 0.667 0.333 0.749
Se: 0.157 0.315 0.305
Se: 0.157 0.843 0.305
Se: 0.315 0.157 0.695
Se: 0.685 0.843 0.305
Se: 0.843 0.157 0.695
Se: 0.843 0.685 0.695

Values from the calculation:
Formation energy (no corrections) (meV/atom): -959


BaMnCu2Te4 | PBE | optimized geometry

Cell: 6.452 8.686 8.767 Å, 90.00 90.00 90.00°
Fractional coordinates of all 16 atoms:
Ba: 0.000 0.000 0.000
Ba: 0.500 0.500 0.500
Mn: 0.000 0.500 0.000
Mn: 0.500 0.000 0.500
Cu: 0.000 0.142 0.500
Cu: 0.000 0.858 0.500
Cu: 0.500 0.358 0.000
Cu: 0.500 0.642 0.000
Te: 0.211 0.337 0.809
Te: 0.211 0.663 0.191
Te: 0.289 0.163 0.309
Te: 0.289 0.837 0.691
Te: 0.711 0.163 0.691
Te: 0.711 0.837 0.309
Te: 0.789 0.337 0.191
Te: 0.789 0.663 0.809

Values from the calculation:
Formation energy (no corrections) (meV/atom): -386


BaTiMnCu2 | PBE | optimized geometry

Cell: 4.980 4.980 4.321 Å, 90.00 90.00 90.00°
Fractional coordinates of all 5 atoms:
Ba: 0.000 0.000 0.000
Ti: 0.500 0.500 0.000
Mn: 0.500 0.500 0.500
Cu: 0.000 0.500 0.500
Cu: 0.500 0.000 0.500

Values from the calculation:
E (eV/atom): -5.022


BaCuMo3 | PBE | optimized geometry

Cell: 4.936 4.936 4.936 Å, 90.00 90.00 90.00°
Fractional coordinates of all 5 atoms:
Ba: 0.000 0.000 0.000
Cu: 0.500 0.500 0.500
Mo: 0.000 0.000 0.500
Mo: 0.000 0.500 0.000
Mo: 0.500 0.000 0.000

Values from the calculation:
E (eV/atom): -4.469


BaCuMo2 | PBE | optimized geometry

Cell: 3.465 4.957 9.420 Å, 90.00 90.00 90.00°
Fractional coordinates of all 8 atoms:
Ba: 0.000 0.000 0.000
Ba: 0.500 0.500 0.000
Cu: 0.000 0.500 0.287
Cu: 0.500 0.000 0.287
Mo: 0.000 0.000 0.490
Mo: 0.000 0.500 0.687
Mo: 0.500 0.000 0.687
Mo: 0.500 0.500 0.490

Values from the calculation:
E (eV/atom): -6.149


BaCuMo2 | PBE | optimized geometry

Cell: 6.660 6.660 6.660 Å, 90.00 90.00 90.00°
Fractional coordinates of all 16 atoms:
Ba: 0.000 0.000 0.000
Ba: 0.000 0.500 0.500
Ba: 0.500 0.000 0.500
Ba: 0.500 0.500 0.000
Cu: 0.000 0.000 0.500
Cu: 0.000 0.500 0.000
Cu: 0.500 0.000 0.000
Cu: 0.500 0.500 0.500
Mo: 0.250 0.250 0.250
Mo: 0.250 0.250 0.750
Mo: 0.250 0.750 0.250
Mo: 0.250 0.750 0.750
Mo: 0.750 0.250 0.250
Mo: 0.750 0.250 0.750
Mo: 0.750 0.750 0.250
Mo: 0.750 0.750 0.750

Values from the calculation:
E (eV/atom): -5.445


BaCuMo2 | PBE | optimized geometry

Cell: 8.873 3.383 6.625 Å, 90.00 104.99 90.00°
Fractional coordinates of all 8 atoms:
Ba: 0.000 0.000 0.000
Ba: 0.500 0.500 0.000
Cu: 0.225 0.000 0.664
Cu: 0.725 0.500 0.664
Mo: 0.294 0.500 0.399
Mo: 0.492 0.000 0.497
Mo: 0.794 0.000 0.399
Mo: 0.992 0.500 0.497

Values from the calculation:
E (eV/atom): -6.195


BaCuMo2 | PBE | optimized geometry

Cell: 3.971 3.971 5.240 Å, 90.00 90.00 90.00°
Fractional coordinates of all 4 atoms:
Ba: 0.000 0.000 0.000
Cu: 0.500 0.500 0.000
Mo: 0.000 0.500 0.500
Mo: 0.500 0.000 0.500

Values from the calculation:
E (eV/atom): -5.650


BaCuMo2 | PBE | optimized geometry

Cell: 4.700 4.700 19.106 Å, 90.00 90.00 90.00°
Fractional coordinates of all 16 atoms:
Ba: 0.000 0.000 0.000
Ba: 0.000 0.500 0.250
Ba: 0.500 0.000 0.750
Ba: 0.500 0.500 0.500
Cu: 0.000 0.000 0.500
Cu: 0.000 0.500 0.750
Cu: 0.500 0.000 0.250
Cu: 0.500 0.500 0.000
Mo: 0.022 0.250 0.625
Mo: 0.250 0.522 0.875
Mo: 0.250 0.978 0.375
Mo: 0.478 0.250 0.125
Mo: 0.522 0.750 0.125
Mo: 0.750 0.022 0.375
Mo: 0.750 0.478 0.875
Mo: 0.978 0.750 0.625

Values from the calculation:
E (eV/atom): -5.791


BaCuMo | PBE | optimized geometry

Cell: 3.508 3.508 11.730 Å, 90.00 90.00 90.00°
Fractional coordinates of all 6 atoms:
Ba: 0.000 0.000 0.000
Ba: 0.500 0.500 0.500
Cu: 0.000 0.000 0.713
Cu: 0.500 0.500 0.213
Mo: 0.000 0.000 0.279
Mo: 0.500 0.500 0.779

Values from the calculation:
E (eV/atom): -4.754


Ba2CuMo2 | PBE | optimized geometry

Cell: 3.648 3.648 20.819 Å, 90.00 90.00 90.00°
Fractional coordinates of all 10 atoms:
Ba: 0.000 0.000 0.103
Ba: 0.000 0.000 0.897
Ba: 0.500 0.500 0.397
Ba: 0.500 0.500 0.603
Cu: 0.000 0.000 0.500
Cu: 0.500 0.500 0.000
Mo: 0.000 0.500 0.250
Mo: 0.000 0.500 0.750
Mo: 0.500 0.000 0.250
Mo: 0.500 0.000 0.750

Values from the calculation:
E (eV/atom): -5.271


BaCuMo2 | PBE | optimized geometry

Cell: 4.825 4.825 6.806 Å, 90.00 90.00 90.00°
Fractional coordinates of all 8 atoms:
Ba: 0.000 0.000 0.000
Ba: 0.500 0.500 0.500
Cu: 0.000 0.500 0.250
Cu: 0.500 0.000 0.750
Mo: 0.000 0.000 0.500
Mo: 0.000 0.500 0.750
Mo: 0.500 0.000 0.250
Mo: 0.500 0.500 0.000

Values from the calculation:
E (eV/atom): -5.819


BaCuMo2 | PBE | optimized geometry

Cell: 4.024 4.024 10.097 Å, 90.00 90.00 90.00°
Fractional coordinates of all 8 atoms:
Ba: 0.000 0.000 0.000
Ba: 0.500 0.500 0.500
Cu: 0.000 0.000 0.500
Cu: 0.500 0.500 0.000
Mo: 0.000 0.500 0.250
Mo: 0.000 0.500 0.750
Mo: 0.500 0.000 0.250
Mo: 0.500 0.000 0.750

Values from the calculation:
E (eV/atom): -5.614


BaCuMo | PBE | optimized geometry

Cell: 7.504 7.504 7.504 Å, 90.00 90.00 90.00°
Fractional coordinates of all 12 atoms:
Ba: 0.000 0.000 0.000
Ba: 0.000 0.500 0.500
Ba: 0.500 0.000 0.500
Ba: 0.500 0.500 0.000
Cu: 0.250 0.250 0.750
Cu: 0.250 0.750 0.250
Cu: 0.750 0.250 0.250
Cu: 0.750 0.750 0.750
Mo: 0.250 0.250 0.250
Mo: 0.250 0.750 0.750
Mo: 0.750 0.250 0.750
Mo: 0.750 0.750 0.250

Values from the calculation:
E (eV/atom): -3.784


BaCuMo | PBE | optimized geometry

Cell: 7.094 7.094 7.094 Å, 90.00 90.00 90.00°
Fractional coordinates of all 12 atoms:
Ba: 0.000 0.000 0.000
Ba: 0.000 0.500 0.500
Ba: 0.500 0.000 0.500
Ba: 0.500 0.500 0.000
Cu: 0.250 0.250 0.750
Cu: 0.250 0.750 0.250
Cu: 0.750 0.250 0.250
Cu: 0.750 0.750 0.750
Mo: 0.000 0.000 0.500
Mo: 0.000 0.500 0.000
Mo: 0.500 0.000 0.000
Mo: 0.500 0.500 0.500

Values from the calculation:
E (eV/atom): -4.371


BaCuMo2 | PBE | optimized geometry

Cell: 3.380 4.623 6.469 Å, 90.00 103.49 90.00°
Fractional coordinates of all 4 atoms:
Ba: 0.000 0.000 0.000
Cu: 0.500 0.000 0.500
Mo: 0.298 0.500 0.633
Mo: 0.702 0.500 0.367

Values from the calculation:
E (eV/atom): -6.077


BaCuMo2 | PBE | optimized geometry

Cell: 5.564 10.407 2.803 Å, 90.00 90.00 90.00°
Fractional coordinates of all 8 atoms:
Ba: 0.000 0.000 0.000
Ba: 0.500 0.500 0.000
Cu: 0.000 0.500 0.000
Cu: 0.500 0.000 0.000
Mo: 0.250 0.250 0.500
Mo: 0.250 0.750 0.500
Mo: 0.750 0.250 0.500
Mo: 0.750 0.750 0.500

Values from the calculation:
E (eV/atom): -5.607


BaCuMo2 | PBE | optimized geometry

Cell: 2.915 2.915 9.257 Å, 90.00 90.00 90.00°
Fractional coordinates of all 4 atoms:
Ba: 0.000 0.000 0.000
Cu: 0.000 0.000 0.500
Mo: 0.500 0.500 0.317
Mo: 0.500 0.500 0.683

Values from the calculation:
E (eV/atom): -5.919


BaCuMo2 | PBE | optimized geometry

Cell: 3.319 3.292 7.852 Å, 90.00 93.32 90.00°
Fractional coordinates of all 4 atoms:
Ba: 0.000 0.000 0.000
Cu: 0.469 0.500 0.687
Mo: 0.506 0.500 0.344
Mo: 0.948 0.000 0.503

Values from the calculation:
E (eV/atom): -6.384


BaCuMo2 | PBE | optimized geometry

Cell: 2.938 2.938 31.808 Å, 90.00 90.00 120.00°
Fractional coordinates of all 12 atoms:
Ba: 0.000 0.000 0.000
Ba: 0.333 0.667 0.667
Ba: 0.667 0.333 0.333
Cu: 0.000 0.000 0.500
Cu: 0.333 0.667 0.167
Cu: 0.667 0.333 0.833
Mo: 0.000 0.000 0.234
Mo: 0.000 0.000 0.766
Mo: 0.333 0.667 0.433
Mo: 0.333 0.667 0.901
Mo: 0.667 0.333 0.099
Mo: 0.667 0.333 0.567

Values from the calculation:
E (eV/atom): -5.686


BaCuMo2 | PBE | optimized geometry

Cell: 3.100 4.776 5.414 Å, 90.00 90.00 90.00°
Fractional coordinates of all 4 atoms:
Ba: 0.000 0.000 0.000
Cu: 0.500 0.500 0.000
Mo: 0.000 0.500 0.500
Mo: 0.500 0.000 0.500

Values from the calculation:
E (eV/atom): -5.777


Ba2CuMo2 | PBE | optimized geometry

Cell: 9.762 9.762 3.253 Å, 90.00 90.00 90.00°
Fractional coordinates of all 10 atoms:
Ba: 0.209 0.291 0.000
Ba: 0.291 0.791 0.000
Ba: 0.709 0.209 0.000
Ba: 0.791 0.709 0.000
Cu: 0.000 0.000 0.000
Cu: 0.500 0.500 0.000
Mo: 0.078 0.578 0.500
Mo: 0.422 0.078 0.500
Mo: 0.578 0.922 0.500
Mo: 0.922 0.422 0.500

Values from the calculation:
E (eV/atom): -4.718


BaCuMo2 | PBE | optimized geometry

Cell: 5.497 10.857 3.294 Å, 90.00 124.74 90.00°
Fractional coordinates of all 8 atoms:
Ba: 0.000 0.000 0.000
Ba: 0.500 0.500 0.000
Cu: 0.000 0.500 0.000
Cu: 0.500 0.000 0.000
Mo: 0.250 0.250 0.500
Mo: 0.250 0.750 0.500
Mo: 0.750 0.250 0.500
Mo: 0.750 0.750 0.500

Values from the calculation:
E (eV/atom): -5.787


BaCuMo2 | PBE | optimized geometry

Cell: 3.459 3.459 7.437 Å, 90.00 90.00 90.00°
Fractional coordinates of all 4 atoms:
Ba: 0.000 0.000 0.000
Cu: 0.000 0.000 0.500
Mo: 0.500 0.500 0.353
Mo: 0.500 0.500 0.647

Values from the calculation:
E (eV/atom): -6.129


BaCuMo2 | PBE | optimized geometry

Cell: 9.356 3.468 6.066 Å, 90.00 102.21 90.00°
Fractional coordinates of all 8 atoms:
Ba: 0.000 0.000 0.000
Ba: 0.500 0.500 0.000
Cu: 0.000 0.500 0.500
Cu: 0.500 0.000 0.500
Mo: 0.210 0.000 0.608
Mo: 0.290 0.500 0.392
Mo: 0.710 0.500 0.608
Mo: 0.790 0.000 0.392

Values from the calculation:
E (eV/atom): -6.208


BaCuMo | PBE | optimized geometry

Cell: 5.002 5.002 3.090 Å, 90.00 90.00 120.00°
Fractional coordinates of all 3 atoms:
Ba: 0.000 0.000 0.000
Cu: 0.667 0.333 0.500
Mo: 0.333 0.667 0.500

Values from the calculation:
E (eV/atom): -4.437


BaCuMo | PBE | optimized geometry

Cell: 3.174 3.174 7.617 Å, 90.00 90.00 120.00°
Fractional coordinates of all 3 atoms:
Ba: 0.000 0.000 0.000
Cu: 0.667 0.333 0.372
Mo: 0.333 0.667 0.612

Values from the calculation:
E (eV/atom): -4.449